[1]
# DyScCF2, optimized geometry, DFT PBE
# Crystal system: trigonal
# Total magnetic moment (Bohr magnetons per cell): 0.00
# Electronic total energy (eV/atom): -7.163
data_DyScCF2
_chemical_formula_sum 'Dy1 Sc1 C1 F2'
_cell_length_a 3.490
_cell_length_b 3.490
_cell_length_c 6.233
_cell_angle_alpha 90.00
_cell_angle_beta 90.00
_cell_angle_gamma 120.00
_symmetry_space_group_name_H-M 'P 1'
_symmetry_Int_Tables_number 1
loop_
_symmetry_equiv_pos_as_xyz
'x,y,z'
loop_
_atom_site_label
_atom_site_type_symbol
_atom_site_fract_x
_atom_site_fract_y
_atom_site_fract_z
F1 F 0.333 0.667 0.630
Dy1 Dy 0.333 0.667 0.204
Sc1 Sc 0.667 0.333 0.790
C1 C 0.000 0.000 0.987
F2 F 0.667 0.333 0.389


[2]
# TbAgPbS3, optimized geometry, DFT PBE
# Crystal system: orthorhombic
# Total magnetic moment (Bohr magnetons per cell): 0.01
# E above lowest polymorph (meV/atom): 3.8
# Electronic total energy (eV/atom): -4.965
data_TbAgPbS3
_chemical_formula_sum 'Tb4 Ag4 Pb4 S12'
_cell_length_a 13.334
_cell_length_b 4.084
_cell_length_c 10.943
_cell_angle_alpha 90.00
_cell_angle_beta 90.00
_cell_angle_gamma 90.00
_symmetry_space_group_name_H-M 'P 1'
_symmetry_Int_Tables_number 1
loop_
_symmetry_equiv_pos_as_xyz
'x,y,z'
loop_
_atom_site_label
_atom_site_type_symbol
_atom_site_fract_x
_atom_site_fract_y
_atom_site_fract_z
Tb1 Tb 0.014 0.750 0.663
Pb1 Pb 0.258 0.250 0.522
Ag1 Ag 0.980 0.750 0.089
S1 S 0.893 0.250 0.563
S2 S 0.393 0.750 0.629
S3 S 0.640 0.250 0.767
S4 S 0.393 0.250 0.937
S5 S 0.607 0.750 0.063
S6 S 0.360 0.750 0.233
Ag2 Ag 0.480 0.750 0.411
Tb2 Tb 0.486 0.250 0.163
Tb3 Tb 0.986 0.250 0.337
S7 S 0.607 0.250 0.371
S8 S 0.860 0.750 0.267
Pb2 Pb 0.758 0.250 0.978
Tb4 Tb 0.514 0.750 0.837
Pb3 Pb 0.242 0.750 0.022
S9 S 0.140 0.250 0.733
Pb4 Pb 0.742 0.750 0.478
S10 S 0.107 0.750 0.437
S11 S 0.893 0.750 0.871
S12 S 0.107 0.250 0.129
Ag3 Ag 0.020 0.250 0.911
Ag4 Ag 0.520 0.250 0.589


[3]
# TmNbNO, optimized geometry, DFT PBE
# Crystal system: orthorhombic
# Total magnetic moment (Bohr magnetons per cell): 0.60
# E above lowest polymorph (meV/atom): 0.0
# Electronic total energy (eV/atom): -8.815
data_TmNbNO
_chemical_formula_sum 'Tm4 Nb4 N4 O4'
_cell_length_a 5.555
_cell_length_b 7.945
_cell_length_c 5.457
_cell_angle_alpha 90.00
_cell_angle_beta 90.00
_cell_angle_gamma 90.00
_symmetry_space_group_name_H-M 'P 1'
_symmetry_Int_Tables_number 1
loop_
_symmetry_equiv_pos_as_xyz
'x,y,z'
loop_
_atom_site_label
_atom_site_type_symbol
_atom_site_fract_x
_atom_site_fract_y
_atom_site_fract_z
O1 O 0.752 0.482 0.625
O2 O 0.252 0.518 0.625
Tm1 Tm 0.020 0.370 0.380
Tm2 Tm 0.980 0.630 0.880
N1 N 0.114 0.158 0.692
Nb1 Nb 0.382 0.029 0.506
N2 N 0.886 0.842 0.192
Tm3 Tm 0.480 0.370 0.880
O3 O 0.748 0.482 0.125
Nb2 Nb 0.882 0.971 0.506
N3 N 0.614 0.842 0.692
Nb3 Nb 0.618 0.971 0.006
O4 O 0.248 0.518 0.125
N4 N 0.386 0.158 0.192
Tm4 Tm 0.520 0.630 0.380
Nb4 Nb 0.118 0.029 0.006


[4]
# TmMgTe3Pb, optimized geometry, DFT PBE
# Crystal system: orthorhombic
# Total magnetic moment (Bohr magnetons per cell): 0.01
# Electronic total energy (eV/atom): -3.969
data_TmMgTe3Pb
_chemical_formula_sum 'Tm2 Mg2 Te6 Pb2'
_cell_length_a 7.716
_cell_length_b 7.716
_cell_length_c 11.285
_cell_angle_alpha 90.00
_cell_angle_beta 90.00
_cell_angle_gamma 146.76
_symmetry_space_group_name_H-M 'P 1'
_symmetry_Int_Tables_number 1
loop_
_symmetry_equiv_pos_as_xyz
'x,y,z'
loop_
_atom_site_label
_atom_site_type_symbol
_atom_site_fract_x
_atom_site_fract_y
_atom_site_fract_z
Te1 Te 0.408 0.592 0.250
Pb1 Pb 0.710 0.290 0.250
Te2 Te 0.141 0.859 0.047
Te3 Te 0.141 0.859 0.453
Te4 Te 0.859 0.141 0.953
Pb2 Pb 0.290 0.710 0.750
Mg1 Mg 0.973 0.027 0.750
Mg2 Mg 0.027 0.973 0.250
Tm1 Tm 0.500 0.500 0.000
Te5 Te 0.859 0.141 0.547
Tm2 Tm 0.500 0.500 0.500
Te6 Te 0.592 0.408 0.750